DFT (PBE) results for a geometry-optimized Tb8ThMg2 structure.

```
data_Tb8ThMg2
_cell_length_a 9.1376
_cell_length_b 9.1376
_cell_length_c 7.9674
_cell_angle_alpha 107.17
_cell_angle_beta 107.17
_cell_angle_gamma 32.15
_symmetry_space_group_name_H-M 'P 1'
_symmetry_Int_Tables_number 1
_symmetry_space_group_name_Hall 'P 1'
loop_
_atom_site_label
_atom_site_type_symbol
_atom_site_fract_x
_atom_site_fract_y
_atom_site_fract_z
Tb1 Tb 0.0483 0.0483 0.2369
Tb2 Tb 0.1381 0.1381 0.6925
Tb3 Tb 0.3175 0.3175 0.5672
Tb4 Tb 0.4063 0.4063 0.0424
Tb5 Tb 0.5937 0.5937 0.9576
Tb6 Tb 0.6825 0.6825 0.4328
Tb7 Tb 0.8619 0.8619 0.3075
Tb8 Tb 0.9517 0.9517 0.7631
Th1 Th 0.5000 0.5000 0.5000
Mg1 Mg 0.2276 0.2276 0.1340
Mg2 Mg 0.7724 0.7724 0.8660
```

Results
Energy of formation from the pure elements   0.02 eV/atom
E   -4.315 eV/atom
Symmetry   No. 12